# La3TbSn12

Crystalline La3TbSn12 at its relaxed geometry (PBE, Alexandria).

a = 4.790 Å, b = 4.790 Å, c = 19.077 Å
α = 90.00°, β = 90.00°, γ = 90.00°
Sites, in units of the cell vectors:
Sn: 0.000 0.500 0.880
Sn: 0.500 0.500 0.247
Sn: 0.500 0.000 0.120
Sn: 0.000 0.500 0.627
Sn: 0.500 0.000 0.373
Sn: 0.500 0.500 0.500
Sn: 0.500 0.000 0.627
Sn: 0.000 0.500 0.373
Sn: 0.500 0.500 0.753
Sn: 0.500 0.500 0.000
Sn: 0.000 0.500 0.120
Sn: 0.500 0.000 0.880
La: 0.000 0.000 0.247
La: 0.000 0.000 0.753
La: 0.000 0.000 0.500
Tb: 0.000 0.000 0.000

Results
Total magnetization ... 0.00 μB per cell
Space-group type ... P4/mmm (123)
Calculated total energy ... -76.2 eV/cell
Calculated formation energy ... -12.61 kcal/mol of atoms